(1)
Sc2TcAg: relaxed, PBE.

a b c (Å): 4.6864 4.6864 4.6864
angles (deg): 60.00 60.00 60.00
Fractional positions:
Sc: 0.0000 0.0000 0.0000
Sc: 0.2500 0.2500 0.2500
Tc: 0.5000 0.5000 0.5000
Ag: 0.7500 0.7500 0.7500

Values from the calculation:
- excess energy over the best structure of this formula in the dataset (meV per atom) = 456
- formation energy (kJ per mole of atoms) = 13.2


(2)
ScTc2Ag: relaxed, PBE.

a b c (Å): 4.5264 4.5264 4.5264
angles (deg): 60.00 60.00 60.00
Fractional positions:
Sc: 0.0000 0.0000 0.0000
Tc: 0.2500 0.2500 0.2500
Tc: 0.5000 0.5000 0.5000
Ag: 0.7500 0.7500 0.7500

Values from the calculation:
- formation energy (kJ per mole of atoms) = 9.5


(3)
ScTcAg: relaxed, PBE.

a b c (Å): 3.2588 3.2588 9.7434
angles (deg): 90.00 90.00 90.00
Fractional positions:
Sc: 0.2500 0.2500 0.2427
Sc: 0.7500 0.7500 0.7573
Tc: 0.2500 0.2500 0.9287
Tc: 0.7500 0.7500 0.0713
Ag: 0.2500 0.2500 0.5829
Ag: 0.7500 0.7500 0.4171

Values from the calculation:
- excess energy over the best structure of this formula in the dataset (meV per atom) = 0
- formation energy (kJ per mole of atoms) = -18.0


(4)
Sc6AgTe2: relaxed, PBE.

a b c (Å): 20.3950 3.8659 10.7386
angles (deg): 90.00 90.00 90.00
Fractional positions:
Sc: 0.0100 0.2500 0.1089
Sc: 0.0292 0.7500 0.3775
Sc: 0.1073 0.2500 0.8288
Sc: 0.1384 0.7500 0.0675
Sc: 0.1615 0.2500 0.5372
Sc: 0.2303 0.7500 0.7491
Sc: 0.2697 0.2500 0.2491
Sc: 0.3385 0.7500 0.0372
Sc: 0.3616 0.2500 0.5675
Sc: 0.3927 0.7500 0.3288
Sc: 0.4708 0.2500 0.8775
Sc: 0.4900 0.7500 0.6089
Sc: 0.5100 0.2500 0.3911
Sc: 0.5292 0.7500 0.1225
Sc: 0.6073 0.2500 0.6712
Sc: 0.6384 0.7500 0.4325
Sc: 0.6615 0.2500 0.9628
Sc: 0.7303 0.7500 0.7509
Sc: 0.7697 0.2500 0.2509
Sc: 0.8385 0.7500 0.4628
Sc: 0.8616 0.2500 0.9325
Sc: 0.8927 0.7500 0.1712
Sc: 0.9708 0.2500 0.6225
Sc: 0.9900 0.7500 0.8911
Ag: 0.0761 0.7500 0.6428
Ag: 0.4239 0.2500 0.1428
Ag: 0.5761 0.7500 0.8572
Ag: 0.9239 0.2500 0.3572
Te: 0.1268 0.2500 0.2739
Te: 0.2353 0.2500 0.9646
Te: 0.2647 0.7500 0.4646
Te: 0.3732 0.7500 0.7739
Te: 0.6268 0.2500 0.2261
Te: 0.7353 0.2500 0.5354
Te: 0.7647 0.7500 0.0354
Te: 0.8732 0.7500 0.7261


(5)
ScAg2Te: relaxed, PBE.

a b c (Å): 4.9270 4.9270 4.9270
angles (deg): 60.00 60.00 60.00
Fractional positions:
Sc: 0.0000 0.0000 0.0000
Ag: 0.5000 0.5000 0.5000
Ag: 0.7500 0.7500 0.7500
Te: 0.2500 0.2500 0.2500


(6)
Sc6AgTe2: relaxed, PBE.

a b c (Å): 7.8795 7.8795 3.7819
angles (deg): 90.00 90.00 120.00
Fractional positions:
Sc: 0.0000 0.3988 0.0000
Sc: 0.0000 0.7425 0.5000
Sc: 0.2575 0.2575 0.5000
Sc: 0.3988 0.0000 0.0000
Sc: 0.6012 0.6012 0.0000
Sc: 0.7425 0.0000 0.5000
Ag: 0.0000 0.0000 0.0000
Te: 0.3333 0.6667 0.5000
Te: 0.6667 0.3333 0.5000


(7)
YTm2Sc3AgTe2: relaxed, PBE.

a b c (Å): 3.9550 8.0476 8.0476
angles (deg): 119.90 90.00 90.00
Fractional positions:
Y: 0.0000 0.0000 0.0000
Tm: 0.0000 0.3995 0.7968
Tm: 0.0000 0.7968 0.3995
Sc: 0.5000 0.1487 0.4002
Sc: 0.5000 0.4002 0.1487
Sc: 0.5000 0.6504 0.6504
Ag: 0.0000 0.4028 0.4028
Te: 0.5000 0.0668 0.7318
Te: 0.5000 0.7318 0.0668


(8)
Sc2TlAg: relaxed, PBE.

a b c (Å): 4.7659 4.7659 9.7393
angles (deg): 90.00 90.00 120.00
Fractional positions:
Sc: 0.3333 0.6667 0.0923
Sc: 0.3333 0.6667 0.4077
Sc: 0.6667 0.3333 0.5923
Sc: 0.6667 0.3333 0.9077
Tl: 0.3333 0.6667 0.7500
Tl: 0.6667 0.3333 0.2500
Ag: 0.0000 0.0000 0.0000
Ag: 0.0000 0.0000 0.5000

Values from the calculation:
- excess energy over the best structure of this formula in the dataset (meV per atom) = 338


(9)
Sc2TlAg: relaxed, PBE.

a b c (Å): 4.9067 4.9067 9.2856
angles (deg): 90.00 90.00 120.00
Fractional positions:
Sc: 0.3333 0.6667 0.0880
Sc: 0.3333 0.6667 0.4120
Sc: 0.6667 0.3333 0.5880
Sc: 0.6667 0.3333 0.9120
Tl: 0.0000 0.0000 0.0000
Tl: 0.0000 0.0000 0.5000
Ag: 0.3333 0.6667 0.7500
Ag: 0.6667 0.3333 0.2500

Values from the calculation:
- excess energy over the best structure of this formula in the dataset (meV per atom) = 359


(10)
Sc2TlAg: relaxed, PBE.

a b c (Å): 4.8892 4.8892 3.6231
angles (deg): 90.00 90.00 90.57
Fractional positions:
Sc: 0.0000 0.5000 0.0000
Sc: 0.5000 0.0000 0.0000
Tl: 0.0000 0.0000 0.5000
Ag: 0.5000 0.5000 0.5000

Values from the calculation:
- excess energy over the best structure of this formula in the dataset (meV per atom) = 21


(11)
Sc2TlAg: relaxed, PBE.

a b c (Å): 4.9663 4.9663 4.9663
angles (deg): 60.00 60.00 60.00
Fractional positions:
Sc: 0.2500 0.2500 0.2500
Sc: 0.7500 0.7500 0.7500
Tl: 0.0000 0.0000 0.0000
Ag: 0.5000 0.5000 0.5000

Values from the calculation:
- excess energy over the best structure of this formula in the dataset (meV per atom) = 0


(12)
Sc2TlAg: relaxed, PBE.

a b c (Å): 4.7973 4.7973 9.2632
angles (deg): 90.00 90.00 120.00
Fractional positions:
Sc: 0.3333 0.6667 0.0911
Sc: 0.3333 0.6667 0.4089
Sc: 0.6667 0.3333 0.5911
Sc: 0.6667 0.3333 0.9089
Tl: 0.0000 0.0000 0.2500
Tl: 0.0000 0.0000 0.7500
Ag: 0.3333 0.6667 0.7500
Ag: 0.6667 0.3333 0.2500

Values from the calculation:
- excess energy over the best structure of this formula in the dataset (meV per atom) = 329


Number 1: total magnetization 0.00 μB/cell, electronic total energy -6.323 eV per atom. Number 2: total magnetization 0.00 μB/cell, electronic total energy -7.370 eV per atom. Number 3: total magnetization 0.02 μB/cell, electronic total energy -6.691 eV per atom. Number 4: total magnetization 1.21 μB/cell, electronic total energy -5.832 eV per atom. Number 5: total magnetization 0.35 μB/cell, electronic total energy -3.979 eV per atom. Number 6: total magnetization 0.02 μB/cell, electronic total energy -5.832 eV per atom. Number 7: total magnetization 0.10 μB/cell, electronic total energy -5.478 eV per atom. Number 8: total magnetization 0.01 μB/cell, electronic total energy -4.427 eV per atom. Number 9: total magnetization 1.90 μB/cell, electronic total energy -4.406 eV per atom. Number 10: total magnetization 0.10 μB/cell, electronic total energy -4.744 eV per atom. Number 11: total magnetization 0.00 μB/cell, electronic total energy -4.765 eV per atom. Number 12: total magnetization 0.50 μB/cell, electronic total energy -4.436 eV per atom.